(1)
Dy3HI7: relaxed, PBE-GGA.

Its total moment is 1.0 μB/cell. As for the space group: No. 156. Its calculated total energy is -40.8 eV for the cell shown.

Geometry as CIF:
```
data_Dy3HI7
_chemical_formula_sum 'Dy3 H1 I7'
_space_group_name_H-M_alt 'P 1'
_space_group_IT_number 1
_space_group_name_Hall 'P 1'
_cell_length_a 7.660
_cell_length_b 8.348
_cell_length_c 8.348
_cell_angle_alpha 120.00
_cell_angle_beta 90.00
_cell_angle_gamma 90.00
loop_
_atom_site_label
_atom_site_fract_x
_atom_site_fract_y
_atom_site_fract_z
Dy1 0.765 0.490 0.510
Dy2 0.765 0.490 0.981
Dy3 0.765 0.019 0.510
H1 0.695 0.333 0.667
I1 0.009 0.165 0.835
I2 0.009 0.165 0.329
I3 0.998 0.667 0.333
I4 0.533 0.835 0.165
I5 0.533 0.330 0.165
I6 0.533 0.835 0.670
I7 0.009 0.671 0.835
```

=====

(2)
DyH4I3O11: relaxed, PBE-GGA.

Its total moment is 0.0 μB/cell. As for the space group: No. 2. Its calculated total energy is -193.0 eV for the cell shown.

Geometry as CIF:
```
data_DyH4I3O11
_chemical_formula_sum 'Dy2 H8 I6 O22'
_space_group_name_H-M_alt 'P 1'
_space_group_IT_number 1
_space_group_name_Hall 'P 1'
_cell_length_a 7.093
_cell_length_b 7.512
_cell_length_c 10.893
_cell_angle_alpha 94.02
_cell_angle_beta 106.81
_cell_angle_gamma 108.26
loop_
_atom_site_label
_atom_site_fract_x
_atom_site_fract_y
_atom_site_fract_z
Dy1 0.907 0.581 0.214
Dy2 0.093 0.419 0.786
H1 0.854 0.745 0.612
H2 0.146 0.255 0.388
H3 0.803 0.934 0.628
H4 0.197 0.066 0.372
H5 0.762 0.892 0.136
H6 0.263 0.094 0.722
H7 0.737 0.906 0.278
H8 0.238 0.108 0.864
I1 0.741 0.270 0.445
I2 0.259 0.730 0.555
I3 0.707 0.638 0.837
I4 0.293 0.362 0.163
I5 0.694 0.158 0.937
I6 0.306 0.842 0.063
O1 0.255 0.205 0.375
O2 0.866 0.278 0.104
O3 0.099 0.834 0.132
O4 0.901 0.166 0.868
O5 0.359 0.087 0.029
O6 0.641 0.913 0.971
O7 0.134 0.722 0.896
O8 0.712 0.531 0.985
O9 0.248 0.555 0.251
O10 0.752 0.445 0.749
O11 0.580 0.435 0.245
O12 0.420 0.565 0.755
O13 0.046 0.622 0.623
O14 0.954 0.378 0.377
O15 0.099 0.794 0.411
O16 0.901 0.206 0.589
O17 0.388 0.963 0.657
O18 0.612 0.037 0.343
O19 0.230 0.170 0.786
O20 0.770 0.830 0.214
O21 0.288 0.469 0.015
O22 0.745 0.795 0.625
```

=====

(3)
Dy2H2SI: relaxed, PBE-GGA.

Its total moment is 0.0 μB/cell. As for the space group: No. 164. Its calculated total energy is -28.6 eV for the cell shown.

Geometry as CIF:
```
data_Dy2H2SI
_chemical_formula_sum 'Dy2 H2 S1 I1'
_space_group_name_H-M_alt 'P 1'
_space_group_IT_number 1
_space_group_name_Hall 'P 1'
_cell_length_a 3.808
_cell_length_b 3.808
_cell_length_c 8.548
_cell_angle_alpha 90.00
_cell_angle_beta 90.00
_cell_angle_gamma 120.00
loop_
_atom_site_label
_atom_site_fract_x
_atom_site_fract_y
_atom_site_fract_z
Dy1 0.333 0.667 0.699
Dy2 0.667 0.333 0.301
H1 0.333 0.667 0.262
H2 0.667 0.333 0.738
S1 0.000 0.000 0.500
I1 0.000 0.000 0.000
```

=====

(4)
Dy2H2SeI: relaxed, PBE-GGA.

Its total moment is 0.0 μB/cell. As for the space group: No. 164. Its calculated total energy is -27.5 eV for the cell shown.

Geometry as CIF:
```
data_Dy2H2SeI
_chemical_formula_sum 'Dy2 H2 Se1 I1'
_space_group_name_H-M_alt 'P 1'
_space_group_IT_number 1
_space_group_name_Hall 'P 1'
_cell_length_a 3.848
_cell_length_b 3.848
_cell_length_c 8.814
_cell_angle_alpha 90.00
_cell_angle_beta 90.00
_cell_angle_gamma 120.00
loop_
_atom_site_label
_atom_site_fract_x
_atom_site_fract_y
_atom_site_fract_z
Dy1 0.333 0.667 0.710
Dy2 0.667 0.333 0.290
H1 0.333 0.667 0.257
H2 0.667 0.333 0.743
Se1 0.000 0.000 0.500
I1 0.000 0.000 0.000
```

=====

(5)
Dy2TeH2I: relaxed, PBE-GGA.

Its total moment is 0.0 μB/cell. As for the space group: No. 164. Its calculated total energy is -26.1 eV for the cell shown.

Geometry as CIF:
```
data_Dy2TeH2I
_chemical_formula_sum 'Dy2 Te1 H2 I1'
_space_group_name_H-M_alt 'P 1'
_space_group_IT_number 1
_space_group_name_Hall 'P 1'
_cell_length_a 3.917
_cell_length_b 3.917
_cell_length_c 9.249
_cell_angle_alpha 90.00
_cell_angle_beta 90.00
_cell_angle_gamma 120.00
loop_
_atom_site_label
_atom_site_fract_x
_atom_site_fract_y
_atom_site_fract_z
Dy1 0.333 0.667 0.725
Dy2 0.667 0.333 0.275
Te1 0.000 0.000 0.500
H1 0.333 0.667 0.250
H2 0.667 0.333 0.750
I1 0.000 0.000 0.000
```

=====

(6)
Dy3InH: relaxed, PBE-GGA.

Its total moment is 1.4 μB/cell. As for the space group: No. 221. Its calculated total energy is -21.7 eV for the cell shown.

Geometry as CIF:
```
data_Dy3InH
_chemical_formula_sum 'Dy3 In1 H1'
_space_group_name_H-M_alt 'P 1'
_space_group_IT_number 1
_space_group_name_Hall 'P 1'
_cell_length_a 4.842
_cell_length_b 4.842
_cell_length_c 4.842
_cell_angle_alpha 90.00
_cell_angle_beta 90.00
_cell_angle_gamma 90.00
loop_
_atom_site_label
_atom_site_fract_x
_atom_site_fract_y
_atom_site_fract_z
H1 0.000 0.000 0.000
In1 0.500 0.500 0.500
Dy1 0.000 0.500 0.000
Dy2 0.000 0.000 0.500
Dy3 0.500 0.000 0.000
```

=====

(7)
Dy3InH: relaxed, PBE-GGA.

Its total moment is 0.0 μB/cell. As for the space group: No. 14. Its calculated total energy is -85.5 eV for the cell shown.

Geometry as CIF:
```
data_Dy3InH
_chemical_formula_sum 'Dy12 In4 H4'
_space_group_name_H-M_alt 'P 1'
_space_group_IT_number 1
_space_group_name_Hall 'P 1'
_cell_length_a 6.622
_cell_length_b 8.429
_cell_length_c 8.715
_cell_angle_alpha 95.70
_cell_angle_beta 90.00
_cell_angle_gamma 90.00
loop_
_atom_site_label
_atom_site_fract_x
_atom_site_fract_y
_atom_site_fract_z
Dy1 0.040 0.277 0.249
Dy2 0.960 0.723 0.751
Dy3 0.540 0.223 0.251
Dy4 0.460 0.777 0.749
Dy5 0.375 0.627 0.358
Dy6 0.625 0.373 0.642
Dy7 0.875 0.873 0.142
Dy8 0.125 0.127 0.858
Dy9 0.752 0.977 0.526
Dy10 0.248 0.023 0.474
Dy11 0.252 0.523 0.974
Dy12 0.748 0.477 0.026
In1 0.859 0.608 0.391
In2 0.141 0.392 0.609
In3 0.359 0.892 0.109
In4 0.641 0.108 0.891
H1 0.034 0.341 0.012
H2 0.966 0.659 0.988
H3 0.534 0.159 0.488
H4 0.466 0.841 0.512
```

=====

(8)
DyInH: relaxed, PBE-GGA.

Its total moment is 0.0 μB/cell. As for the space group: No. 2. Its calculated total energy is -23.4 eV for the cell shown.

Geometry as CIF:
```
data_DyInH
_chemical_formula_sum 'Dy2 In2 H2'
_space_group_name_H-M_alt 'P 1'
_space_group_IT_number 1
_space_group_name_Hall 'P 1'
_cell_length_a 3.692
_cell_length_b 4.661
_cell_length_c 8.064
_cell_angle_alpha 100.45
_cell_angle_beta 89.91
_cell_angle_gamma 113.35
loop_
_atom_site_label
_atom_site_fract_x
_atom_site_fract_y
_atom_site_fract_z
H1 0.748 0.995 0.591
H2 0.252 0.005 0.409
In1 0.128 0.758 0.914
In2 0.872 0.242 0.086
Dy1 0.368 0.236 0.670
Dy2 0.632 0.764 0.330
```